The following is a DFT calculation (PBE) of a relaxed structure of CeHo3Tm6Sc2.

Values from the calculation:
ΔE_f, eV/atom: 0.052
Raw total energy, eV per atom: -4.8779

a = 5.9915 Å, b = 10.3724 Å, c = 11.4964 Å
α = 90.00°, β = 99.99°, γ = 90.00°
With the nearest neighbours (Å) after each atom.
Space group C2/m (No. 12)
One atom of each set of equivalent atoms:
Ce1 0.0000 0.0000 0.0000 x2  6 Tm 3.42, 6 Sc 3.46
Ho1 0.0000 0.1678 0.5000 x4  6 Ho 3.45-3.48, 6 Tm 3.50-3.51
Ho2 0.0000 0.5000 0.5000 x2  6 Ho 3.45-3.46, 6 Tm 3.50
Tm1 0.2490 0.1665 0.2457 x8  2 Sc 3.42-3.43, 1 Ce 3.42, 6 Tm 3.45-3.46, 3 Ho 3.50
Tm2 0.2492 0.5000 0.2459 x4  1 Ce 3.42, 2 Sc 3.43, 6 Tm 3.46, 3 Ho 3.50-3.51
Sc1 0.0000 0.3333 0.0000 x4  6 Tm 3.42-3.43, 3 Ce 3.46, 3 Sc 3.46

---

The following is a DFT calculation (PBE) of a relaxed structure of Ce2Ho6Tm3Sc.

Values from the calculation:
ΔE_f, eV/atom: 0.053
Raw total energy, eV per atom: -4.8703

a = 6.0392 Å, b = 10.4614 Å, c = 11.5728 Å
α = 90.00°, β = 100.02°, γ = 90.00°
With the nearest neighbours (Å) after each atom.
Space group C2/m (No. 12)
One atom of each set of equivalent atoms:
Ce1 0.0000 0.1664 0.0000 x4  6 Ho 3.47, 3 Ce 3.48-3.49, 3 Sc 3.49
Ho1 0.2489 0.3339 0.2482 x8  1 Sc 3.47, 2 Ce 3.47, 6 Ho 3.48-3.49, 3 Tm 3.50-3.51
Ho2 0.2503 0.0000 0.2484 x4  1 Sc 3.47, 2 Ce 3.47, 6 Ho 3.48-3.49, 3 Tm 3.50-3.51
Tm1 0.0000 0.0000 0.5000 x2  6 Tm 3.48-3.49, 6 Ho 3.50-3.51
Tm2 0.0000 0.3340 0.5000 x4  6 Tm 3.47-3.49, 6 Ho 3.50-3.51
Sc1 0.0000 0.5000 0.0000 x2  6 Ho 3.47, 6 Ce 3.49

---

The following is a DFT calculation (PBE) of a relaxed structure of Ce2Y3Ho6Sc.

Values from the calculation:
ΔE_f, eV/atom: 0.055
Raw total energy, eV per atom: -5.3667

a = 6.0791 Å, b = 10.5287 Å, c = 11.6488 Å
α = 90.00°, β = 100.01°, γ = 90.00°
With the nearest neighbours (Å) after each atom.
Space group C2/m (No. 12)
One atom of each set of equivalent atoms:
Ce1 0.0000 0.1663 0.0000 x4  6 Ho 3.47, 3 Ce 3.50-3.51, 3 Sc 3.51
Y1 0.0000 0.0000 0.5000 x2  6 Y 3.51-3.52, 6 Ho 3.55
Y2 0.0000 0.3341 0.5000 x4  6 Y 3.49-3.52, 6 Ho 3.54-3.56
Ho1 0.2482 0.3337 0.2457 x8  1 Sc 3.47, 2 Ce 3.47, 6 Ho 3.50-3.51, 3 Y 3.55-3.56
Ho2 0.2493 0.0000 0.2460 x4  1 Sc 3.47, 2 Ce 3.47, 6 Ho 3.50-3.51, 3 Y 3.54-3.55
Sc1 0.0000 0.5000 0.0000 x2  6 Ho 3.47, 6 Ce 3.51

---

The following is a DFT calculation (PBE) of a relaxed structure of CeHoScZn.

Values from the calculation:
ΔE_f, eV/atom: 0.012
Raw total energy, eV per atom: -4.5177

a = 7.3683 Å, b = 7.3683 Å, c = 7.3683 Å
α = 90.00°, β = 90.00°, γ = 90.00°
With the nearest neighbours (Å) after each atom.
Space group F-43m (No. 216)
One atom of each set of equivalent atoms:
Ce1 0.0000 0.0000 0.0000 x4  4 Zn 3.19, 4 Sc 3.19
Ho1 0.0000 0.0000 0.5000 x4  4 Sc 3.19, 4 Zn 3.19
Sc1 0.2500 0.2500 0.7500 x4  4 Ce 3.19, 4 Ho 3.19
Zn1 0.2500 0.2500 0.2500 x4  4 Ho 3.19, 4 Ce 3.19

---

The following is a DFT calculation (PBE) of a relaxed structure of Ce2HoSe3.

Values from the calculation:
ΔE_f (raw), eV per formula unit: -10.73
Raw total energy, eV per atom: -6.2723

a = 4.1194 Å, b = 5.8781 Å, c = 12.5432 Å
α = 90.00°, β = 90.00°, γ = 90.00°
With the nearest neighbours (Å) after each atom.
Space group Immm (No. 71)
One atom of each set of equivalent atoms:
Ce1 0.0000 0.0000 0.1690 x4  6 Se 2.94-2.98
Ho1 0.0000 0.0000 0.5000 x2  6 Se 2.87-2.94
Se1 0.0000 0.5000 0.1594 x4  2 Ho 2.87, 4 Ce 2.94-2.98
Se2 0.0000 0.5000 0.5000 x2  2 Ho 2.94, 4 Ce 2.96

---

The following is a DFT calculation (PBE) of a relaxed structure of Ce5Ho3Se8.

Values from the calculation:
ΔE_f (raw), eV per formula unit: -28.68
Raw total energy, eV per atom: -6.2473

a = 8.2665 Å, b = 8.2665 Å, c = 20.4406 Å
α = 90.00°, β = 90.00°, γ = 120.00°
With the nearest neighbours (Å) after each atom.
Space group R-3m (No. 166, hexagonal axes)
One atom of each set of equivalent atoms:
Ce1 0.0000 0.0000 0.0000 x3  6 Se 2.93
Ce2 0.0000 0.0000 0.5000 x3  6 Se 2.93
Ce3 0.0000 0.5000 0.0000 x9  6 Se 2.99
Ho1 0.0000 0.5000 0.5000 x9  6 Se 2.88
Se1 0.0000 0.0000 0.2456 x6  3 Ho 2.88, 3 Ce 2.99
Se2 0.0061 0.5031 0.7531 x18  2 Ho 2.88, 4 Ce 2.93-2.99

---

The following is a DFT calculation (PBE) of a relaxed structure of Ce2HoSe4.

Values from the calculation:
ΔE_f (raw), eV per formula unit: -12.55
Raw total energy, eV per atom: -6.1337

a = 8.2478 Å, b = 8.3878 Å, c = 11.6092 Å
α = 90.00°, β = 90.00°, γ = 90.00°
With the nearest neighbours (Å) after each atom.
Space group Imma (No. 74)
One atom of each set of equivalent atoms:
Ce1 0.0000 0.0000 0.0000 x4  6 Se 2.94-2.99
Ce2 0.2500 0.2500 0.2500 x4  6 Se 2.95-3.00
Ho1 0.2500 0.2500 0.7500 x4  6 Se 2.85-2.89
Se1 0.0000 0.0089 0.7429 x8  2 Ho 2.89, 3 Ce 2.99-3.00
Se2 0.2504 0.2500 0.5045 x8  1 Ho 2.85, 3 Ce 2.94-2.95

---

The following is a DFT calculation (PBE) of a relaxed structure of Ce2HoSe5.

Values from the calculation:
ΔE_f (raw), eV per formula unit: -13.93
Raw total energy, eV per atom: -5.9746

a = 8.0732 Å, b = 12.2947 Å, c = 4.1614 Å
α = 90.00°, β = 90.00°, γ = 90.00°
With the nearest neighbours (Å) after each atom.
Space group Pbam (No. 55)
One atom of each set of equivalent atoms:
Ce1 0.0293 0.1781 0.0000 x4  8 Se 2.98-3.15
Ho1 0.0000 0.5000 0.5000 x2  6 Se 2.80-2.85
Se1 0.0000 0.0000 0.5000 x2  4 Ce 3.03
Se2 0.1756 0.4003 0.0000 x4  2 Ho 2.80, 2 Ce 2.98-3.01
Se3 0.1799 0.6991 0.5000 x4  1 Ho 2.85, 4 Ce 3.08-3.15

---

The following is a DFT calculation (PBE) of a relaxed structure of Ce3HoSe4.

Values from the calculation:
ΔE_f (raw), eV per formula unit: -14.40
Raw total energy, eV per atom: -6.3398

a = 8.3636 Å, b = 11.7777 Å, c = 4.1457 Å
α = 90.00°, β = 90.00°, γ = 90.00°
With the nearest neighbours (Å) after each atom.
Space group Cmmm (No. 65)
One atom of each set of equivalent atoms:
Ce1 0.0000 0.0000 0.0000 x2  6 Se 3.00
Ce2 0.2500 0.2500 0.5000 x4  6 Se 2.94-2.95
Ho1 0.0000 0.5000 0.0000 x2  6 Se 2.89
Se1 0.0000 0.2549 0.0000 x4  1 Ho 2.89, 5 Ce 2.94-3.00
Se2 0.2407 0.5000 0.5000 x4  2 Ho 2.89, 4 Ce 2.95-3.00

---

The following is a DFT calculation (PBE) of a relaxed structure of CeHoSe3.

Values from the calculation:
ΔE_f (raw), eV per formula unit: -9.02
Raw total energy, eV per atom: -5.9970

a = 4.1162 Å, b = 7.0570 Å, c = 9.0794 Å
α = 90.00°, β = 90.00°, γ = 90.00°
With the nearest neighbours (Å) after each atom.
Space group Pmmn (No. 59, origin choice 2)
One atom of each set of equivalent atoms:
Ce1 0.2500 0.2500 0.1541 x2  6 Se 2.89-3.09
Ho1 0.2500 0.7500 0.3987 x2  7 Se 2.86-2.99
Se1 0.2500 0.5199 0.6659 x4  3 Ho 2.86-2.92, 2 Ce 3.09
Se2 0.2500 0.7500 0.0698 x2  2 Ce 2.89, 1 Ho 2.99

---

The following is a DFT calculation (PBE) of a relaxed structure of Ce2Ho2Se5.

Values from the calculation:
ΔE_f (raw), eV per formula unit: -15.54
Raw total energy, eV per atom: -5.9980

a = 14.7840 Å, b = 7.8016 Å, c = 7.7698 Å
α = 90.00°, β = 90.00°, γ = 90.00°
With the nearest neighbours (Å) after each atom.
Space group Cmce (No. 64)
One atom of each set of equivalent atoms:
Ce1 0.1978 0.0000 0.0000 x8  7 Se 2.92-3.11
Ho1 0.0000 0.1526 0.3450 x8  8 Se 2.88-3.12
Se1 0.0000 0.0000 0.0000 x4  2 Ce 2.92, 4 Ho 2.93-2.97
Se2 0.1331 0.1575 0.6530 x16  3 Ho 2.88-3.12, 3 Ce 3.03-3.11

---

The following is a DFT calculation (PBE) of a relaxed structure of Ce4HoSe6.

Values from the calculation:
ΔE_f (raw), eV per formula unit: -18.79
Raw total energy, eV per atom: -6.1827

a = 11.8632 Å, b = 11.8632 Å, c = 14.2289 Å
α = 90.00°, β = 90.00°, γ = 120.00°
With the nearest neighbours (Å) after each atom.
Space group R-3c (No. 167, hexagonal axes)
One atom of each set of equivalent atoms:
Ce1 0.0000 0.0000 0.2500 x6  6 Se 2.98
Ce2 0.0000 0.3840 0.2500 x18  8 Se 3.03-3.27
Ho1 0.0000 0.0000 0.0000 x6  6 Se 2.78
Se1 0.0295 0.2037 0.3860 x36  1 Ho 2.78, 2 Ce 2.98-3.03

---

The following is a DFT calculation (PBE) of a relaxed structure of Ce4HoSe5.

Values from the calculation:
ΔE_f (raw), eV per formula unit: -17.96
Raw total energy, eV per atom: -6.3696

a = 4.1707 Å, b = 4.1707 Å, c = 29.4645 Å
α = 90.00°, β = 90.00°, γ = 90.00°
With the nearest neighbours (Å) after each atom.
Space group I4/mmm (No. 139)
One atom of each set of equivalent atoms:
Ce1 0.0000 0.0000 0.1002 x4  6 Se 2.95
Ce2 0.0000 0.0000 0.3010 x4  6 Se 2.95-3.00
Ho1 0.0000 0.0000 0.5000 x2  6 Se 2.86-2.95
Se1 0.0000 0.0000 0.0000 x2  4 Ho 2.95, 2 Ce 2.95
Se2 0.0000 0.0000 0.2004 x4  6 Ce 2.95-2.96
Se3 0.0000 0.0000 0.4028 x4  1 Ho 2.86, 5 Ce 2.95-3.00

---

The following is a DFT calculation (PBE) of a relaxed structure of CeHoSe3.

Values from the calculation:
ΔE_f (raw), eV per formula unit: -9.26
Raw total energy, eV per atom: -6.0448

a = 7.7307 Å, b = 4.1416 Å, c = 15.9936 Å
α = 90.00°, β = 90.00°, γ = 90.00°
With the nearest neighbours (Å) after each atom.
Space group Pnma (No. 62)
One atom of each set of equivalent atoms:
Ce1 0.1376 0.2500 0.2020 x4  8 Se 2.94-3.26
Ho1 0.2312 0.7500 0.4568 x4  7 Se 2.87-3.05
Se1 0.0092 0.2500 0.3948 x4  3 Ho 2.87-3.01
Se2 0.1235 0.7500 0.0632 x4  3 Ho 2.91-3.05, 2 Ce 3.04, 1 Se 3.25
Se3 0.1515 0.2500 0.7829 x4  1 Ho 2.93, 4 Ce 2.94-3.06, 1 Se 3.25

---

The following is a DFT calculation (PBE) of a relaxed structure of CeHo3Se6.

Values from the calculation:
ΔE_f (raw), eV per formula unit: -18.65
Raw total energy, eV per atom: -5.9226

a = 11.5946 Å, b = 4.1264 Å, c = 11.8687 Å
α = 90.00°, β = 109.06°, γ = 90.00°
With the nearest neighbours (Å) after each atom.
Space group P2_1/m (No. 11)
One atom of each set of equivalent atoms:
Ce1 0.0473 0.2500 0.1950 x2  8 Se 3.02-3.16
Ho1 0.1586 0.2500 0.5853 x2  6 Se 2.78-2.89
Ho2 0.3194 0.7500 0.0004 x2  7 Se 2.82-3.05
Ho3 0.4387 0.2500 0.3338 x2  6 Se 2.80-2.89
Se1 0.0835 0.7500 0.4051 x2  3 Ho 2.85-2.89, 2 Ce 3.16
Se2 0.1176 0.2500 0.9646 x2  3 Ce 3.02-3.10, 2 Ho 3.04
Se3 0.1963 0.7500 0.7506 x2  3 Ho 2.78-2.84, 1 Ce 3.10
Se4 0.2615 0.7500 0.2272 x2  3 Ho 2.89-2.98, 2 Ce 3.15
Se5 0.3932 0.2500 0.5593 x2  4 Ho 2.84-2.89
Se6 0.4807 0.2500 0.1144 x2  4 Ho 2.80-3.05

---

The following is a DFT calculation (PBE) of a relaxed structure of Ce2Ho3Se6.

Values from the calculation:
ΔE_f (raw), eV per formula unit: -20.26
Raw total energy, eV per atom: -6.0701

a = 7.0835 Å, b = 12.2503 Å, c = 7.1960 Å
α = 90.00°, β = 109.16°, γ = 90.00°
With the nearest neighbours (Å) after each atom.
Space group C2/m (No. 12)
One atom of each set of equivalent atoms:
Ce1 0.0000 0.1661 0.0000 x4  6 Se 2.95-2.96
Ho1 0.0000 0.0000 0.5000 x2  6 Se 2.86-2.92
Ho2 0.0000 0.3342 0.5000 x4  6 Se 2.86-2.91
Se1 0.2419 0.5000 0.7430 x4  3 Ho 2.86-2.92, 2 Ce 2.95
Se2 0.2492 0.1643 0.7406 x8  3 Ho 2.86-2.91, 2 Ce 2.96

---

The following is a DFT calculation (PBE) of a relaxed structure of Ce2Ho2Se7.

Values from the calculation:
ΔE_f (raw), eV per formula unit: -18.70
Raw total energy, eV per atom: -5.8289

a = 4.1093 Å, b = 14.6148 Å, c = 9.0600 Å
α = 90.00°, β = 90.00°, γ = 90.00°
With the nearest neighbours (Å) after each atom.
Space group Imm2 (No. 44)
One atom of each set of equivalent atoms:
Ce1 0.0000 0.2397 0.0000 x4  7 Se 2.85-3.08
Ho1 0.0000 0.0000 0.7605 x2  7 Se 2.89-2.98
Ho2 0.0000 0.5000 0.8035 x2  8 Se 2.84-3.07
Se1 0.0000 0.0000 0.0796 x2  3 Ho 2.89
Se2 0.0000 0.1093 0.4834 x4  3 Ho 2.98-3.07, 2 Ce 3.02, 1 Se 3.19
Se3 0.0000 0.3171 0.6984 x4  1 Ho 2.84, 3 Ce 2.85-2.96
Se4 0.0000 0.3622 0.3065 x4  2 Ho 2.91, 2 Ce 3.08

---

The following is a DFT calculation (PBE) of a relaxed structure of CeHoSe2.

Values from the calculation:
ΔE_f (raw), eV per formula unit: -7.07
Raw total energy, eV per atom: -6.1388

a = 5.8397 Å, b = 5.8397 Å, c = 11.6614 Å
α = 90.00°, β = 90.00°, γ = 90.00°
With the nearest neighbours (Å) after each atom.
Space group I4_1/amd (No. 141, origin choice 2)
One atom of each set of equivalent atoms:
Ce1 0.0000 0.2500 0.3750 x4  6 Se 2.92-2.97
Ho1 0.0000 0.2500 0.8750 x4  6 Se 2.86-2.92
Se1 0.0000 0.2500 0.1204 x8  3 Ho 2.86-2.92, 3 Ce 2.92-2.97

---

The following is a DFT calculation (PBE) of a relaxed structure of CeHo2Se.

Values from the calculation:
ΔE_f (raw), eV per formula unit: -2.89
Raw total energy, eV per atom: -5.3661

a = 3.7233 Å, b = 3.7233 Å, c = 28.7882 Å
α = 90.00°, β = 90.00°, γ = 120.00°
With the nearest neighbours (Å) after each atom.
Space group R3m (No. 160, hexagonal axes)
One atom of each set of equivalent atoms:
Ce1 0.0000 0.0000 0.0000 x3  6 Ho 3.61-3.62, 6 Ce 3.72
Ho1 0.0000 0.0000 0.5660 x3  3 Se 2.86
Ho2 0.0000 0.0000 0.7680 x3  3 Se 2.86
Se1 0.0000 0.0000 0.1670 x3  6 Ho 2.86

---

The following is a DFT calculation (PBE) of a relaxed structure of Ce2HoSe4.

Values from the calculation:
ΔE_f (raw), eV per formula unit: -12.28
Raw total energy, eV per atom: -6.0953

a = 4.0041 Å, b = 13.9369 Å, c = 14.0698 Å
α = 90.00°, β = 90.00°, γ = 90.00°
With the nearest neighbours (Å) after each atom.
Space group Cmcm (No. 63)
One atom of each set of equivalent atoms:
Ce1 0.0000 0.1332 0.0709 x8  6 Se 2.91-3.02
Ho1 0.0000 0.3750 0.2500 x4  6 Se 2.87-2.95
Se1 0.0000 0.0230 0.2500 x4  2 Ho 2.87, 2 Ce 2.95
Se2 0.0000 0.2184 0.6268 x8  2 Ho 2.95, 3 Ce 2.98-3.02
Se3 0.0000 0.5000 0.0000 x4  4 Ce 2.91